BaSiTc2 after structural relaxation, computed with PBE-GGA.

a = 3.240 Å, b = 3.240 Å, c = 7.691 Å
α = 90.00°, β = 90.00°, γ = 90.00°
Positions (direct):
Tc  0.000  0.000  0.002
Tc  0.500  0.500  0.163
Ba  0.000  0.000  0.507
Si  0.500  0.500  0.827

Values from the calculation:
VASP energy in eV per atom: -6.785

***

VMoPCl2 after structural relaxation, computed with PBE-GGA.

a = 4.525 Å, b = 4.525 Å, c = 4.989 Å
α = 90.00°, β = 90.00°, γ = 90.00°
Last column: magnetic moment on the atom in μB.
Positions (direct):
P  0.000  0.000  0.500  -0.10
Mo  0.500  0.500  0.500  3.61
V  0.000  0.000  0.000  -0.44
Cl  0.500  0.000  0.000  0.01
Cl  0.000  0.500  0.000  0.01

Values from the calculation:
Relative energy among the computed polymorphs in kJ per mole of atoms: 0.0

***

Hf6CoOs3 after structural relaxation, computed with PBE-GGA.

a = 6.634 Å, b = 6.870 Å, c = 8.662 Å
α = 90.00°, β = 87.92°, γ = 90.00°
Positions (direct):
Os  0.454  0.140  0.246
Os  0.046  0.640  0.254
Os  0.000  0.000  0.500
Os  0.954  0.360  0.746
Os  0.500  0.500  0.000
Os  0.546  0.860  0.754
Hf  0.160  0.342  0.440
Hf  0.340  0.842  0.060
Hf  0.840  0.658  0.560
Hf  0.707  0.445  0.252
Hf  0.293  0.555  0.748
Hf  0.644  0.174  0.560
Hf  0.144  0.326  0.060
Hf  0.356  0.826  0.440
Hf  0.207  0.055  0.752
Hf  0.660  0.158  0.940
Hf  0.856  0.674  0.940
Hf  0.793  0.945  0.248
Co  0.500  0.500  0.500
Co  0.000  0.000  0.000

Values from the calculation:
Formation energy in eV/atom: -0.201

***

Please write out number 1 again, unchanged.
BaSiTc2 after structural relaxation, computed with PBE-GGA.

a = 3.240 Å, b = 3.240 Å, c = 7.691 Å
α = 90.00°, β = 90.00°, γ = 90.00°
Positions (direct):
Tc  0.000  0.000  0.002
Tc  0.500  0.500  0.163
Ba  0.000  0.000  0.507
Si  0.500  0.500  0.827

Values from the calculation:
VASP energy in eV per atom: -6.785